# 1
## RbSeO2 (PBE)

Data for a geometry-optimized RbSeO2 structure.

It has space group Pnma (No. 62), with a = 6.4209 Å, b = 3.9146 Å, c = 13.7352 Å, α = 90.00°, β = 90.00° and γ = 90.00°. The asymmetric unit holds Rb at (0.2382, 0.2500, 0.1626), Se at (0.2288, 0.7500, 0.3979), O at (0.0898, 0.2500, 0.8054) and O at (0.1972, 0.2500, 0.4132).

As for the spin magnetization: 0.0 μB per formula unit. The formation energy (no corrections) is -982.4 meV/atom.

***

# 2
## HgH6S2N2 (PBE)

Data for a geometry-optimized HgH6S2N2 structure.

It has space group P-1 (No. 2), with a = 4.2216 Å, b = 5.6754 Å, c = 7.0255 Å, α = 90.50°, β = 101.76° and γ = 110.87°. The asymmetric unit holds Hg at (0.0000, 0.0000, 0.0000), H at (0.1253, 0.4235, 0.3355), H at (0.1295, 0.2414, 0.5172), H at (0.2354, 0.7967, 0.6404), S at (0.4800, 0.3391, 0.9165) and N at (0.0241, 0.2419, 0.3722).

For the total energy, the calculation gives -47.9 eV per formula unit. As for the spin magnetization: 0.0 μB per formula unit.

***

- spin magnetization of number 1 (RbSeO2)?
  0.0 μB per formula unit